(1)
# GGA-PBE Tb5InIr4, relaxed
# Formation energy: -0.72 eV per atom
# Calculated volume: 21.70 Å³/atom
# Total DFT energy (no corrections): -68.56 eV/cell
data_Tb5InIr4
_chemical_formula_sum 'Tb5 In1 Ir4'
_symmetry_space_group_name_H-M 'P 4/m m m'
_symmetry_Int_Tables_number 123
_symmetry_space_group_name_Hall '-P 4 2'
_cell_length_a 3.518
_cell_length_b 3.518
_cell_length_c 17.537
_cell_angle_alpha 90.00
_cell_angle_beta 90.00
_cell_angle_gamma 90.00
loop_
_atom_site_label
_atom_site_type_symbol
_atom_site_fract_x
_atom_site_fract_y
_atom_site_fract_z
Tb1 Tb 0.000 0.000 0.000
Tb2 Tb 0.000 0.000 0.190
Tb3 Tb 0.000 0.000 0.378
In1 In 0.500 0.500 0.500
Ir1 Ir 0.500 0.500 0.096
Ir2 Ir 0.500 0.500 0.288

(2)
# GGA-PBE K4Zr3AgTe8, relaxed
# Calculated volume: 32.94 Å³/atom
# Formation energy (no corrections): -865.6 meV per atom
# Total DFT energy (no corrections): -215.60 eV/cell
data_K4Zr3AgTe8
_chemical_formula_sum 'K12 Zr9 Ag3 Te24'
_symmetry_space_group_name_H-M 'R -3 m'
_symmetry_Int_Tables_number 166
_symmetry_space_group_name_Hall '-R 3 2"'
_cell_length_a 8.6139
_cell_length_b 8.6139
_cell_length_c 24.6045
_cell_angle_alpha 90.00
_cell_angle_beta 90.00
_cell_angle_gamma 120.00
loop_
_atom_site_label
_atom_site_type_symbol
_atom_site_fract_x
_atom_site_fract_y
_atom_site_fract_z
K1 K 0.0000 0.0000 0.0000
K2 K 0.0000 0.5000 0.0000
Zr1 Zr 0.0000 0.5000 0.5000
Ag1 Ag 0.0000 0.0000 0.5000
Te1 Te 0.0000 0.0000 0.2345
Te2 Te 0.0084 0.5042 0.7672

(3)
# GGA-PBE YCoSi2Ni, relaxed
# Excess energy over the best structure of this formula in the dataset: 0.891 eV per atom
# Calculated volume: 18.34 Å³/atom
# Formation energy (no corrections): 66.3 meV per atom
# Total DFT energy (no corrections): -29.87 eV/cell
data_YCoSi2Ni
_chemical_formula_sum 'Y1 Co1 Si2 Ni1'
_symmetry_space_group_name_H-M 'P 4/m m m'
_symmetry_Int_Tables_number 123
_symmetry_space_group_name_Hall '-P 4 2'
_cell_length_a 4.249
_cell_length_b 4.249
_cell_length_c 5.078
_cell_angle_alpha 90.00
_cell_angle_beta 90.00
_cell_angle_gamma 90.00
loop_
_atom_site_label
_atom_site_type_symbol
_atom_site_fract_x
_atom_site_fract_y
_atom_site_fract_z
Y1 Y 0.000 0.000 0.000
Co1 Co 0.000 0.000 0.500
Si1 Si 0.000 0.500 0.500
Ni1 Ni 0.500 0.500 0.000

(4)
# GGA-PBE Tb2PrRu9, relaxed
# Formation energy: -0.09 eV per atom
# Calculated volume: 17.75 Å³/atom
# Total DFT energy (no corrections): -295.92 eV/cell
data_Tb2PrRu9
_chemical_formula_sum 'Tb6 Pr3 Ru27'
_symmetry_space_group_name_H-M 'R -3 m'
_symmetry_Int_Tables_number 166
_symmetry_space_group_name_Hall '-R 3 2"'
_cell_length_a 5.3176
_cell_length_b 5.3176
_cell_length_c 26.0943
_cell_angle_alpha 90.00
_cell_angle_beta 90.00
_cell_angle_gamma 120.00
loop_
_atom_site_label
_atom_site_type_symbol
_atom_site_fract_x
_atom_site_fract_y
_atom_site_fract_z
Tb1 Tb 0.0000 0.0000 0.1397
Pr1 Pr 0.0000 0.0000 0.0000
Ru1 Ru 0.0000 0.0000 0.3385
Ru2 Ru 0.0000 0.0000 0.5000
Ru3 Ru 0.0114 0.5057 0.9168

Ordered density of states at the Fermi level results: 8.31, 15.37, 2.15, 51.55; unit states/eV per cell.